Computed, not measured: an optimized crystal structure of MnCrGaRe at the PBE level of DFT.

Output
Total moment (μB per cell): 1.24
SG: No. 216
Calculated formation energy (eV per atom): 0.05
Density (g/cm3): 11.66

```
4
Lattice="-2.956 1.227 -2.691 -4.027 -0.769 0.824 -2.566 3.145 1.004" Properties=species:S:1:pos:R:3 pbc="T T T"
Re -7.161 2.702 -0.648
Mn -4.774 1.802 -0.432
Ga -2.387 0.901 -0.216
Cr 0.000 0.000 0.000
```